Here is Mg2AlSb at its PBEsol-relaxed geometry from the Alexandria database. Energies are from SCAN.

Unit cell a=3.3380 b=4.1012 c=6.2554 alpha=90.00 beta=90.00 gamma=90.00
Positions (direct):
Mg 0.0000 0.0000 0.2388
Mg 0.0000 0.0000 0.7612
Al 0.5000 0.5000 0.0000
Sb 0.5000 0.5000 0.5000

Its total energy is -55.167 eV per cell. The calculated volume comes out at 21.41 Å³/atom. For the distance to the lowest polymorph of the same formula, the calculation gives 23 meV/atom. The calculation puts the energy relative to the elements, uncorrected at -0.052 eV per atom.

***

Here is CsCaW3 at its PBEsol-relaxed geometry from the Alexandria database. Energies are from SCAN.

Unit cell a=4.9121 b=4.9121 c=4.9121 alpha=90.00 beta=90.00 gamma=90.00
Positions (direct):
Cs 0.0000 0.0000 0.0000
Ca 0.5000 0.5000 0.5000
W 0.0000 0.5000 0.5000
W 0.5000 0.0000 0.5000
W 0.5000 0.5000 0.0000

For the formation energy, the calculation gives 3.97 eV/atom. Its total energy is -236.687 eV per cell. The calculated volume comes out at 23.70 Å³/atom.

***

Here is BeRe2Tc at its PBEsol-relaxed geometry from the Alexandria database. Energies are from SCAN.

Unit cell a=4.6852 b=4.6852 c=4.6852 alpha=133.62 beta=133.62 gamma=67.69
Positions (direct):
Be 0.0000 0.0000 0.0000
Re 0.5000 0.5000 0.0000
Re 0.7500 0.2500 0.5000
Tc 0.2500 0.7500 0.5000

For the formation energy, the calculation gives 0.11 eV/atom. Its total energy is -181.183 eV per cell. The calculated volume comes out at 13.25 Å³/atom.

***

Here is TiZnTc2C at its PBEsol-relaxed geometry from the Alexandria database. Energies are from SCAN.

Unit cell a=3.9968 b=3.9968 c=4.1101 alpha=90.00 beta=90.00 gamma=90.00
Positions (direct):
Ti 0.0000 0.0000 0.0000
Zn 0.5000 0.5000 0.0000
Tc 0.0000 0.5000 0.5000
Tc 0.5000 0.0000 0.5000
C 0.0000 0.0000 0.5000

For the formation energy, the calculation gives -0.12 eV/atom. Its total energy is -110.378 eV per cell. The calculated volume comes out at 13.13 Å³/atom.